A) Material: GeH3S
Method: DFT, GGA-PBE
State: relaxed

Cell and atoms, written as extended XYZ:
```
20
Lattice="-0.9109 0.4957 3.6368 -8.2860 -3.1716 -1.6430 3.4910 -8.6806 2.0576" Properties=species:S:1:pos:R:3 pbc="T T T"
Ge 1.8400 -8.3438 4.0811
Ge -7.5459 -3.0127 -0.0297
Ge -5.5843 -7.4706 0.1363
Ge -0.1216 -3.8858 3.9151
H -7.2393 -4.3694 -0.6809
H 1.5335 -6.9871 4.7323
H -0.0052 -2.7593 2.8778
H -5.7006 -8.5971 1.1736
H -2.1031 -0.7956 2.9572
H -3.6027 -10.5608 1.0942
H -5.5456 -6.1131 0.8535
H -0.1602 -5.2434 3.1979
H -6.7073 -2.9194 1.2482
H 1.0014 -8.4371 2.8032
H -0.5499 -4.2025 0.9990
H -5.1560 -7.1540 3.0524
S -3.4807 -3.8308 1.9405
S -2.2251 -7.5257 2.1109
S -3.6652 -3.3516 -0.1373
S -2.0407 -8.0049 4.1887
```

B) Material: GeH3S
Method: DFT, GGA-PBE
State: relaxed

Cell and atoms, written as extended XYZ:
```
5
Lattice="3.6587 0.0000 0.0000 0.0000 3.6587 0.0000 0.0000 0.0000 3.6587" Properties=species:S:1:pos:R:3 pbc="T T T"
H 0.0000 1.8293 0.0000
H 0.0000 0.0000 1.8293
H 1.8293 0.0000 0.0000
Ge 0.0000 0.0000 0.0000
S 1.8293 1.8293 1.8293
```

Short version: B) is the least stable of them.